# 1
{
  "formula": "YZnHg2",
  "functional": "meta-GGA SCAN",
  "state": "single point on PBEsol structure",
  "lattice": [[4.281, 0.000, 0.000], [0.000, 4.467, 0.000], [0.000, 0.000, 4.467]],
  "species": ["Hg", "Zn", "Y", "Hg"],
  "frac_coords": [[0.000, 0.500, 0.000], [0.500, 0.000, 0.000], [0.500, 0.500, 0.500], [0.000, 0.000, 0.500]]
}

# 2
{
  "formula": "Y2Zn2Hg",
  "functional": "meta-GGA SCAN",
  "state": "single point on PBEsol structure",
  "lattice": [[4.112, 0.000, 0.000], [0.000, 7.222, 0.000], [0.000, 0.000, 7.222]],
  "species": ["Zn", "Y", "Zn", "Y", "Zn", "Y", "Y", "Hg", "Zn", "Hg"],
  "frac_coords": [[0.000, 0.377, 0.877], [0.500, 0.673, 0.827], [0.000, 0.877, 0.623], [0.500, 0.827, 0.327], [0.000, 0.123, 0.377], [0.500, 0.173, 0.673], [0.500, 0.327, 0.173], [0.000, 0.000, 0.000], [0.000, 0.623, 0.123], [0.000, 0.500, 0.500]]
}

# 3
{
  "formula": "Y2ZnHg",
  "functional": "meta-GGA SCAN",
  "state": "single point on PBEsol structure",
  "lattice": [[5.042, 0.000, 0.000], [2.521, 4.366, 0.000], [2.521, 1.455, 4.116]],
  "species": ["Zn", "Hg", "Y", "Y"],
  "frac_coords": [[0.250, 0.250, 0.250], [0.500, 0.500, 0.500], [0.750, 0.750, 0.750], [0.000, 0.000, 0.000]]
}

# 4
{
  "formula": "YZn4Hg",
  "functional": "meta-GGA SCAN",
  "state": "single point on PBEsol structure",
  "lattice": [[5.304, 0.000, 0.000], [2.652, 4.594, 0.000], [2.652, 1.531, 4.331]],
  "species": ["Zn", "Y", "Zn", "Hg", "Zn", "Zn"],
  "frac_coords": [[0.374, 0.877, 0.374], [0.000, 0.000, 0.000], [0.374, 0.374, 0.877], [0.750, 0.750, 0.750], [0.374, 0.374, 0.374], [0.877, 0.374, 0.374]]
}

# 5
{
  "formula": "YZnHg2",
  "functional": "meta-GGA SCAN",
  "state": "single point on PBEsol structure",
  "lattice": [[-0.985, 1.539, 2.920], [-3.300, -0.394, -0.906], [-0.146, -6.350, 3.297]],
  "species": ["Hg", "Y", "Hg", "Zn"],
  "frac_coords": [[0.000, 0.000, 0.974], [0.000, 0.000, 0.513], [0.500, 0.500, 0.240], [0.500, 0.500, 0.773]]
}

# 6
{
  "formula": "YZr3Hg",
  "functional": "meta-GGA SCAN",
  "state": "single point on PBEsol structure",
  "lattice": [[5.254, 0.000, 0.000], [0.000, 5.254, 0.000], [0.000, 0.000, 5.254]],
  "species": ["Hg", "Zr", "Zr", "Y", "Zr"],
  "frac_coords": [[0.000, 0.000, 0.000], [0.500, 0.000, 0.000], [0.000, 0.500, 0.000], [0.500, 0.500, 0.500], [0.000, 0.000, 0.500]]
}

# 7
{
  "formula": "Zn3Hg",
  "functional": "meta-GGA SCAN",
  "state": "single point on PBEsol structure",
  "lattice": [[-0.893, -2.520, 1.412], [2.745, -2.532, -2.784], [3.836, 1.105, 2.777]],
  "species": ["Hg", "Zn", "Zn", "Zn"],
  "frac_coords": [[0.000, 0.000, 0.000], [0.790, 0.500, 0.726], [0.500, 0.000, 0.500], [0.210, 0.500, 0.274]]
}

# 8
{
  "formula": "ZnHg7",
  "functional": "meta-GGA SCAN",
  "state": "single point on PBEsol structure",
  "lattice": [[-3.927, 0.588, -4.885], [-6.215, 0.246, 0.970], [-3.116, 5.395, -0.902]],
  "species": ["Zn", "Hg", "Hg", "Hg", "Hg", "Hg", "Hg", "Hg"],
  "frac_coords": [[0.000, 0.000, 0.000], [0.500, 0.500, 0.500], [0.000, 0.500, 0.000], [0.500, 0.000, 0.500], [0.000, 0.000, 0.500], [0.500, 0.000, 0.000], [0.000, 0.500, 0.500], [0.500, 0.500, 0.000]]
}

# 9
{
  "formula": "ZnHg4",
  "functional": "meta-GGA SCAN",
  "state": "single point on PBEsol structure",
  "lattice": [[-3.685, -5.867, 4.836], [7.069, -3.167, -3.376], [1.909, 6.746, 4.717]],
  "species": ["Hg", "Hg", "Hg", "Hg", "Hg", "Hg", "Hg", "Hg", "Hg", "Hg", "Zn", "Zn", "Hg", "Zn", "Hg", "Hg", "Hg", "Hg", "Zn", "Hg"],
  "frac_coords": [[0.250, 0.500, 0.750], [0.500, 0.750, 0.250], [0.000, 0.322, 0.322], [0.000, 0.000, 0.401], [0.678, 0.678, 0.000], [0.000, 0.401, 0.000], [0.000, 0.678, 0.678], [0.401, 0.000, 0.000], [0.250, 0.750, 0.500], [0.500, 0.250, 0.750], [0.709, 0.000, 0.000], [0.291, 0.291, 0.291], [0.750, 0.250, 0.500], [0.000, 0.000, 0.709], [0.322, 0.000, 0.322], [0.678, 0.000, 0.678], [0.750, 0.500, 0.250], [0.322, 0.322, 0.000], [0.000, 0.709, 0.000], [0.599, 0.599, 0.599]]
}

# 10
{
  "formula": "Zn3Hg",
  "functional": "meta-GGA SCAN",
  "state": "single point on PBEsol structure",
  "lattice": [[5.116, 0.000, 0.000], [0.000, 5.242, 0.000], [0.000, 2.621, 4.979]],
  "species": ["Hg", "Zn", "Zn", "Hg", "Zn", "Zn", "Zn", "Zn"],
  "frac_coords": [[0.250, 0.368, 0.264], [0.250, 0.879, 0.242], [0.250, 0.369, 0.758], [0.750, 0.632, 0.736], [0.750, 0.127, 0.242], [0.750, 0.631, 0.242], [0.750, 0.121, 0.758], [0.250, 0.873, 0.758]]
}

# 11
{
  "formula": "ZnHg2",
  "functional": "meta-GGA SCAN",
  "state": "single point on PBEsol structure",
  "lattice": [[-2.805, 5.625, -1.630], [-4.461, -3.223, -3.445], [-3.793, -0.368, 5.257]],
  "species": ["Hg", "Hg", "Zn", "Hg", "Hg", "Zn", "Hg", "Hg", "Hg", "Zn", "Zn", "Hg"],
  "frac_coords": [[0.359, 0.141, 0.859], [0.859, 0.359, 0.141], [0.500, 0.500, 0.000], [0.641, 0.859, 0.141], [0.141, 0.859, 0.359], [0.000, 0.500, 0.500], [0.141, 0.641, 0.859], [0.859, 0.141, 0.641], [0.359, 0.359, 0.359], [0.000, 0.000, 0.000], [0.500, 0.000, 0.500], [0.641, 0.641, 0.641]]
}

# 12
{
  "formula": "ZnHg2",
  "functional": "meta-GGA SCAN",
  "state": "single point on PBEsol structure",
  "lattice": [[3.296, 0.000, 0.000], [-1.648, 2.854, 0.000], [0.000, 0.000, 6.438]],
  "species": ["Zn", "Hg", "Hg"],
  "frac_coords": [[0.000, 0.000, 0.000], [0.667, 0.333, 0.315], [0.333, 0.667, 0.685]]
}

For reference, raw total energy by record: -44.815; -30.709; -34.390; -25.189; -44.712; -37.040; -27.095; -61.210; -57.134; -27.086; -49.876; -49.852 eV per atom.